Record 1
# GGA-PBEsol MgAlAu2, optimized geometry
# DFT formation energy	-44	kJ per mole of atoms
# magnetic moment	0.00	μB per formula unit
data_MgAlAu2
_chemical_formula_sum 'Mg1 Al1 Au2'
_cell_length_a 3.408
_cell_length_b 3.658
_cell_length_c 5.465
_cell_angle_alpha 90.00
_cell_angle_beta 90.00
_cell_angle_gamma 90.00
_symmetry_space_group_name_H-M 'P m m 2'
_symmetry_Int_Tables_number 25
loop_
_symmetry_equiv_pos_as_xyz
'x,y,z'
'-x,-y,z'
'-x,y,z'
'x,-y,z'
loop_
_atom_site_label
_atom_site_fract_x
_atom_site_fract_y
_atom_site_fract_z
Mg1 0.000 0.000 0.000
Al1 0.500 0.500 0.314
Au1 0.000 0.000 0.489
Au2 0.500 0.500 0.808



Record 2
# GGA-PBEsol ZrFe2Se, optimized geometry
# E_form (uncorrected)	-0.053	eV/atom
# magnetic moment	1.80	μB per formula unit
data_ZrFe2Se
_chemical_formula_sum 'Zr2 Fe4 Se2'
_cell_length_a 3.617
_cell_length_b 3.617
_cell_length_c 8.465
_cell_angle_alpha 90.00
_cell_angle_beta 90.00
_cell_angle_gamma 90.00
_symmetry_space_group_name_H-M 'I -4 m 2'
_symmetry_Int_Tables_number 119
_symmetry_space_group_name_Hall 'I -4 -2'
loop_
_atom_site_label
_atom_site_fract_x
_atom_site_fract_y
_atom_site_fract_z
Zr1 0.000 0.000 0.000
Fe1 0.000 0.000 0.500
Fe2 0.000 0.500 0.250
Se1 0.000 0.500 0.750



Record 3
# GGA-PBEsol TcNiOs, optimized geometry
# E above lowest polymorph	0.36	eV/f.u.
# DFT formation energy	13	kJ per mole of atoms
# magnetic moment	0.00	μB per formula unit
data_TcNiOs
_chemical_formula_sum 'Tc1 Ni1 Os1'
_cell_length_a 4.1321
_cell_length_b 4.1321
_cell_length_c 2.6341
_cell_angle_alpha 90.00
_cell_angle_beta 90.00
_cell_angle_gamma 120.00
_symmetry_space_group_name_H-M 'P -6 m 2'
_symmetry_Int_Tables_number 187
_symmetry_space_group_name_Hall 'P -6 2'
loop_
_atom_site_label
_atom_site_fract_x
_atom_site_fract_y
_atom_site_fract_z
Tc1 0.0000 0.0000 0.0000
Ni1 0.3333 0.6667 0.5000
Os1 0.6667 0.3333 0.5000



Record 4
# GGA-PBEsol Ca2TaAs, optimized geometry
# DFT formation energy	39	kJ per mole of atoms
# magnetic moment	0.00	μB per formula unit
data_Ca2TaAs
_chemical_formula_sum 'Ca8 Ta4 As4'
_cell_length_a 6.930
_cell_length_b 6.930
_cell_length_c 6.930
_cell_angle_alpha 90.00
_cell_angle_beta 90.00
_cell_angle_gamma 90.00
_symmetry_space_group_name_H-M 'F -4 3 m'
_symmetry_Int_Tables_number 216
_symmetry_space_group_name_Hall 'F -4 2 3'
loop_
_atom_site_label
_atom_site_fract_x
_atom_site_fract_y
_atom_site_fract_z
Ca1 0.000 0.000 0.000
Ca2 0.250 0.250 0.250
Ta1 0.250 0.250 0.750
As1 0.000 0.000 0.500



Record 5
# GGA-PBEsol Na7Al3O8, optimized geometry
# E_form (uncorrected)	-2.165	eV/atom
# magnetic moment	0.00	μB per formula unit
data_Na7Al3O8
_chemical_formula_sum 'Na14 Al6 O16'
_cell_length_a 5.859
_cell_length_b 7.960
_cell_length_c 11.309
_cell_angle_alpha 69.42
_cell_angle_beta 89.69
_cell_angle_gamma 71.10
_symmetry_space_group_name_H-M 'P -1'
_symmetry_Int_Tables_number 2
loop_
_symmetry_equiv_pos_as_xyz
'x,y,z'
'-x,-y,-z'
loop_
_atom_site_label
_atom_site_fract_x
_atom_site_fract_y
_atom_site_fract_z
Na1 0.029 0.207 0.230
Na2 0.051 0.194 0.738
Na3 0.127 0.588 0.056
Na4 0.159 0.598 0.551
Na5 0.225 0.018 0.051
Na6 0.243 0.991 0.556
Na7 0.349 0.402 0.832
Al1 0.335 0.404 0.342
Al2 0.433 0.799 0.364
Al3 0.457 0.825 0.854
O1 0.036 0.490 0.269
O2 0.140 0.905 0.395
O3 0.177 0.867 0.918
O4 0.279 0.301 0.035
O5 0.342 0.266 0.506
O6 0.435 0.593 0.337
O7 0.448 0.718 0.739
O8 0.477 0.059 0.774



Record 6
# GGA-PBEsol Sr2FeW, optimized geometry
# E above lowest polymorph	0.00	eV/f.u.
# DFT formation energy	60	kJ per mole of atoms
# magnetic moment	0.00	μB per formula unit
data_Sr2FeW
_chemical_formula_sum 'Sr2 Fe1 W1'
_cell_length_a 3.316
_cell_length_b 3.316
_cell_length_c 9.268
_cell_angle_alpha 90.00
_cell_angle_beta 90.00
_cell_angle_gamma 90.00
_symmetry_space_group_name_H-M 'P 4 m m'
_symmetry_Int_Tables_number 99
loop_
_symmetry_equiv_pos_as_xyz
'x,y,z'
'-y,x,z'
'-x,-y,z'
'y,-x,z'
'-x,y,z'
'y,x,z'
'x,-y,z'
'-y,-x,z'
loop_
_atom_site_label
_atom_site_fract_x
_atom_site_fract_y
_atom_site_fract_z
Sr1 0.000 0.000 0.000
Sr2 0.500 0.500 0.398
Fe1 0.500 0.500 0.734
W1 0.000 0.000 0.670



Record 7
# GGA-PBEsol TlCrCl, optimized geometry
# E_form (uncorrected)	0.621	eV/atom
# magnetic moment	5.57	μB per formula unit
data_TlCrCl
_chemical_formula_sum 'Tl4 Cr4 Cl4'
_cell_length_a 7.009
_cell_length_b 7.009
_cell_length_c 7.009
_cell_angle_alpha 90.00
_cell_angle_beta 90.00
_cell_angle_gamma 90.00
_symmetry_space_group_name_H-M 'F -4 3 m'
_symmetry_Int_Tables_number 216
_symmetry_space_group_name_Hall 'F -4 2 3'
loop_
_atom_site_label
_atom_site_fract_x
_atom_site_fract_y
_atom_site_fract_z
Tl1 0.000 0.000 0.000
Cr1 0.250 0.250 0.750
Cl1 0.250 0.250 0.250



Record 8
# GGA-PBEsol Zn4In2O7, optimized geometry
# E_form (uncorrected)	-1.432	eV/atom
# magnetic moment	0.00	μB per formula unit
data_Zn4In2O7
_chemical_formula_sum 'Zn8 In4 O14'
_cell_length_a 3.3890
_cell_length_b 3.3890
_cell_length_c 33.0691
_cell_angle_alpha 90.00
_cell_angle_beta 90.00
_cell_angle_gamma 120.00
_symmetry_space_group_name_H-M 'P 63/m m c'
_symmetry_Int_Tables_number 194
_symmetry_space_group_name_Hall '-P 6c 2c'
loop_
_atom_site_label
_atom_site_fract_x
_atom_site_fract_y
_atom_site_fract_z
Zn1 0.0000 0.0000 0.1666
Zn2 0.3333 0.6667 0.0905
In1 0.0000 0.0000 0.0000
In2 0.3333 0.6667 0.2500
O1 0.0000 0.0000 0.1072
O2 0.0000 0.0000 0.2500
O3 0.3333 0.6667 0.0315
O4 0.3333 0.6667 0.1836



Record 9
# GGA-PBEsol UB4, optimized geometry
# DFT formation energy	-50	kJ per mole of atoms
# magnetic moment	0.00	μB per formula unit
data_UB4
_chemical_formula_sum 'U4 B16'
_cell_length_a 6.977
_cell_length_b 6.977
_cell_length_c 3.914
_cell_angle_alpha 90.00
_cell_angle_beta 90.00
_cell_angle_gamma 90.00
_symmetry_space_group_name_H-M 'P 4/m b m'
_symmetry_Int_Tables_number 127
_symmetry_space_group_name_Hall '-P 4 2ab'
loop_
_atom_site_label
_atom_site_fract_x
_atom_site_fract_y
_atom_site_fract_z
U1 0.190 0.310 0.000
B1 0.000 0.000 0.200
B2 0.039 0.821 0.500
B3 0.087 0.587 0.500



Record 10
# GGA-PBEsol LaBe2P, optimized geometry
# DFT formation energy	20	kJ per mole of atoms
# magnetic moment	0.00	μB per formula unit
data_LaBe2P
_chemical_formula_sum 'La4 Be8 P4'
_cell_length_a 6.455
_cell_length_b 6.455
_cell_length_c 6.455
_cell_angle_alpha 90.00
_cell_angle_beta 90.00
_cell_angle_gamma 90.00
_symmetry_space_group_name_H-M 'F -4 3 m'
_symmetry_Int_Tables_number 216
_symmetry_space_group_name_Hall 'F -4 2 3'
loop_
_atom_site_label
_atom_site_fract_x
_atom_site_fract_y
_atom_site_fract_z
La1 0.000 0.000 0.000
Be1 0.000 0.000 0.500
Be2 0.250 0.250 0.750
P1 0.250 0.250 0.250



Record 11
# GGA-PBEsol CoIr3, optimized geometry
# DFT formation energy	6	kJ per mole of atoms
# magnetic moment	1.95	μB per formula unit
data_CoIr3
_chemical_formula_sum 'Co2 Ir6'
_cell_length_a 5.3666
_cell_length_b 5.3666
_cell_length_c 4.2471
_cell_angle_alpha 90.00
_cell_angle_beta 90.00
_cell_angle_gamma 120.00
_symmetry_space_group_name_H-M 'P 63/m m c'
_symmetry_Int_Tables_number 194
_symmetry_space_group_name_Hall '-P 6c 2c'
loop_
_atom_site_label
_atom_site_fract_x
_atom_site_fract_y
_atom_site_fract_z
Co1 0.3333 0.6667 0.2500
Ir1 0.1704 0.3408 0.7500